(1)
! PBE MnAl2Ag, optimized geometry; values from VASP
! E above lowest polymorph, eV per formula unit: 0.32
! E_form, eV per atom: -0.08
! Crystal system: orthorhombic
! Total energy, eV/atom: -4.957
&SYSTEM
  ibrav = 0, nat = 4, ntyp = 3
/
ATOMIC_SPECIES
Mn 54.94 Mn.upf
Al 26.98 Al.upf
Ag 107.87 Ag.upf
CELL_PARAMETERS angstrom
-1.3872 -4.2465 -1.1306
3.7588 0.4258 -2.6316
1.5963 -1.0819 2.1050
ATOMIC_POSITIONS crystal
Mn 0.5000 0.0000 0.5000
Al 0.5000 0.5000 0.0000
Al 0.0000 0.0000 0.0000
Ag 0.0000 0.5000 0.5000

---

(2)
! PBE HgAsPb2, optimized geometry; values from VASP
! E above lowest polymorph, eV per formula unit: 0.14
! E_form, eV per atom: 0.03
! Crystal system: monoclinic
! Total energy, eV/atom: -3.059
&SYSTEM
  ibrav = 0, nat = 4, ntyp = 3
/
ATOMIC_SPECIES
Pb 207.20 Pb.upf
As 74.92 As.upf
Hg 200.59 Hg.upf
CELL_PARAMETERS angstrom
-2.6183 0.9596 -2.5437
-2.2297 -2.6825 1.2831
-5.4224 2.4238 6.4958
ATOMIC_POSITIONS crystal
Pb 0.0000 0.9632 0.0374
As 0.5000 0.2500 0.2500
Hg 0.5000 0.7500 0.7500
Pb 0.0000 0.5368 0.4626